Entry 1:
{"formula": "CuGePd2Au", "functional": "PBE-GGA", "state": "optimized geometry", "lattice_angstrom": [[4.656, 0.000, 0.000], [0.000, 4.656, 0.000], [0.000, 0.000, 4.321]], "species": ["Cu", "Ge", "Pd", "Pd", "Au"], "fractional_positions": [[0.000, 0.000, 0.000], [0.000, 0.000, 0.500], [0.000, 0.500, 0.000], [0.500, 0.000, 0.000], [0.500, 0.500, 0.500]], "total_energy_ha_per_atom": -0.14411, "formation_energy_ev_per_atom": 0.554}



Entry 2:
{"formula": "Tb2CeNi9", "functional": "PBE-GGA", "state": "optimized geometry", "lattice_angstrom": [[2.482, 1.433, 8.170], [-2.482, 1.433, 8.170], [0.000, -2.866, 8.170]], "species": ["Tb", "Tb", "Ce", "Ni", "Ni", "Ni", "Ni", "Ni", "Ni", "Ni", "Ni", "Ni"], "fractional_positions": [[0.139, 0.139, 0.139], [0.861, 0.861, 0.861], [0.000, 0.000, 0.000], [0.082, 0.583, 0.583], [0.333, 0.333, 0.333], [0.417, 0.417, 0.918], [0.417, 0.918, 0.417], [0.500, 0.500, 0.500], [0.583, 0.082, 0.583], [0.583, 0.583, 0.082], [0.667, 0.667, 0.667], [0.918, 0.417, 0.417]], "total_energy_ha_per_atom": -0.22072, "formation_energy_ev_per_atom": -0.404}



Entry 3:
{"formula": "Nd2HPt6Rh", "functional": "PBE-GGA", "state": "optimized geometry", "lattice_angstrom": [[-3.190, 3.190, 4.502], [3.190, -3.190, 4.502], [3.190, 3.190, -4.502]], "species": ["Nd", "Nd", "H", "Pt", "Pt", "Pt", "Pt", "Pt", "Pt", "Rh"], "fractional_positions": [[0.250, 0.750, 0.500], [0.750, 0.250, 0.500], [0.000, 0.000, 0.000], [0.220, 0.220, 0.000], [0.221, 0.221, 0.442], [0.221, 0.779, 0.000], [0.779, 0.221, 0.000], [0.779, 0.779, 0.558], [0.780, 0.780, 0.000], [0.500, 0.500, 0.000]], "total_energy_ha_per_atom": -0.22417}



Entry 4:
{"formula": "Pr3Se2N", "functional": "PBE-GGA", "state": "optimized geometry", "lattice_angstrom": [[3.917, 0.000, 0.000], [-1.959, 3.393, 0.000], [0.000, 0.000, 21.779]], "species": ["Pr", "Pr", "Pr", "Pr", "Pr", "Pr", "Se", "Se", "Se", "Se", "N", "N"], "fractional_positions": [[0.000, 0.000, 0.000], [0.000, 0.000, 0.500], [0.333, 0.667, 0.179], [0.333, 0.667, 0.321], [0.667, 0.333, 0.679], [0.667, 0.333, 0.821], [0.333, 0.667, 0.589], [0.333, 0.667, 0.911], [0.667, 0.333, 0.089], [0.667, 0.333, 0.411], [0.000, 0.000, 0.250], [0.000, 0.000, 0.750]], "de_polymorph_mev_per_atom": 162, "formation_energy_uncorrected_ev_per_fu": -8.6, "total_energy_ha_per_atom": -0.23445}



Entry 5:
{"formula": "Tb5NdY2Tm", "functional": "PBE-GGA", "state": "optimized geometry", "lattice_angstrom": [[2.820, -9.921, 0.000], [2.820, 9.921, 0.000], [0.000, 0.000, 10.580]], "species": ["Tb", "Tb", "Tb", "Tb", "Tb", "Tb", "Tb", "Tb", "Tb", "Tb", "Nd", "Nd", "Y", "Y", "Y", "Y", "Tm", "Tm"], "fractional_positions": [[0.019, 0.981, 0.500], [0.282, 0.718, 0.790], [0.298, 0.702, 0.184], [0.387, 0.613, 0.499], [0.480, 0.520, 0.215], [0.520, 0.480, 0.715], [0.613, 0.387, 0.999], [0.702, 0.298, 0.684], [0.718, 0.282, 0.290], [0.981, 0.019, 0.000], [0.415, 0.585, 0.932], [0.585, 0.415, 0.432], [0.111, 0.889, 0.211], [0.114, 0.886, 0.796], [0.886, 0.114, 0.296], [0.889, 0.111, 0.711], [0.201, 0.799, 0.488], [0.799, 0.201, 0.988]], "total_energy_ha_per_atom": -0.17939, "formation_energy_ev_per_atom": 0.154}



Entry 6:
{"formula": "UNb2Ni", "functional": "PBE-GGA", "state": "optimized geometry", "lattice_angstrom": [[3.382, 0.000, 0.000], [0.000, 3.382, 0.000], [0.000, 0.000, 6.032]], "species": ["U", "Nb", "Nb", "Ni"], "fractional_positions": [[0.000, 0.000, 0.000], [0.500, 0.500, 0.256], [0.500, 0.500, 0.744], [0.000, 0.000, 0.500]], "de_polymorph_mev_per_atom": 41, "total_energy_ha_per_atom": -0.33415, "formation_energy_ev_per_atom": 0.210}



Number 1: total moment 0.000 μB/atom. Number 2: total moment 0.000 μB/atom. Number 3: total moment 0.137 μB/atom. Number 4: total moment 0.000 μB/atom. Number 5: total moment 0.000 μB/atom. Number 6: total moment 0.117 μB/atom.